Density functional theory data (PBE) for crystalline Dy12Tl3Zn at its relaxed geometry.

Results
crystal system: tetragonal
SG: P4/mmm, No. 123
spin magnetization: 0.1909 μB per atom
DFT formation energy: -0.142 eV per atom
volume: 28.030 Å³/atom
E: -65.9 eV for the cell shown

Lattice parameters (Å, degrees): 4.8255 4.8255 19.2601 90.00 90.00 90.00
Fractional positions:
Dy (0.5000, 0.5000, 0.0000)
Dy (0.5000, 0.5000, 0.2463)
Dy (0.5000, 0.5000, 0.5000)
Dy (0.5000, 0.5000, 0.7537)
Dy (0.5000, 0.0000, 0.1193)
Dy (0.5000, 0.0000, 0.3738)
Dy (0.5000, 0.0000, 0.6262)
Dy (0.5000, 0.0000, 0.8807)
Dy (0.0000, 0.5000, 0.1193)
Dy (0.0000, 0.5000, 0.3738)
Dy (0.0000, 0.5000, 0.6262)
Dy (0.0000, 0.5000, 0.8807)
Tl (0.0000, 0.0000, 0.2474)
Tl (0.0000, 0.0000, 0.5000)
Tl (0.0000, 0.0000, 0.7526)
Zn (0.0000, 0.0000, 0.0000)